No. 1
Below is a relaxed structure of Mn4ReAs, with properties calculated at the PBE level.

Computed properties:
DOS(E_F)   1.58 states/eV/atom
Formation enthalpy at 0 K   0.32 eV per atom
Total moment   0.62 μB/atom

Lattice parameters (Å, degrees): 6.6748 6.6748 6.6748 90.00 90.00 90.00
With the nearest neighbours (Å) after each atom.
Space group F-43m (No. 216)
One atom of each set of equivalent atoms:
1 Mn 0.1243 0.1243 0.3757 x16  6 Mn 2.35-2.37
2 Re 0.0000 0.0000 0.0000 x4  12 Mn 2.77, 4 As 2.89
3 As 0.2500 0.2500 0.7500 x4  12 Mn 2.77, 4 Re 2.89

No. 2
Below is a relaxed structure of MnRe2As, with properties calculated at the PBE level.

Computed properties:
DOS(E_F)   0.74 states/eV/atom
Formation enthalpy at 0 K   0.24 eV per atom
Total moment   0.48 μB/atom

Lattice parameters (Å, degrees): 8.8945 2.8936 4.6048 90.00 97.41 90.00
With the nearest neighbours (Å) after each atom.
Space group C2/m (No. 12)
One atom of each set of equivalent atoms:
1 Mn 0.0000 0.0000 0.0000 x2  6 Re 2.60-2.77, 4 As 2.72, 2 Mn 2.89
2 Re 0.2268 0.5000 0.2308 x4  1 As 2.50, 3 Mn 2.60-2.77, 2 Re 2.65
3 As 0.0000 0.5000 0.5000 x2  2 Re 2.50, 4 Mn 2.72

No. 3
Below is a relaxed structure of MnRe2As, with properties calculated at the PBE level.

Computed properties:
DOS(E_F)   0.75 states/eV/atom
Formation enthalpy at 0 K   0.43 eV per atom
Total moment   0.00 μB/atom

Lattice parameters (Å, degrees): 6.1042 6.1042 6.1042 90.00 90.00 90.00
With the nearest neighbours (Å) after each atom.
Space group F-43m (No. 216)
One atom of each set of equivalent atoms:
1 Mn 0.0000 0.0000 0.0000 x4  4 As 2.64, 4 Re 2.64
2 Re 0.0000 0.0000 0.5000 x4  4 As 2.64, 4 Re 2.64
3 Re 0.2500 0.2500 0.7500 x4  4 Mn 2.64, 4 Re 2.64
4 As 0.2500 0.2500 0.2500 x4  4 Mn 2.64, 4 Re 2.64

No. 4
Below is a relaxed structure of MnRe2As, with properties calculated at the PBE level.

Computed properties:
DOS(E_F)   0.96 states/eV/atom
Formation enthalpy at 0 K   0.39 eV per atom
Total moment   0.00 μB/atom

Lattice parameters (Å, degrees): 2.9948 4.2993 4.3989 90.00 90.00 90.00
With the nearest neighbours (Å) after each atom.
Space group Pmmm (No. 47)
One atom of each set of equivalent atoms:
1 Mn 0.0000 0.0000 0.0000 x1  4 Re 2.62, 4 As 2.66
2 Re 0.0000 0.5000 0.5000 x1  4 As 2.62, 4 Re 2.66
3 Re 0.5000 0.5000 0.0000 x1  4 Mn 2.62, 4 Re 2.66
4 As 0.5000 0.0000 0.5000 x1  4 Re 2.62, 4 Mn 2.66

Q: Number 1 is which compound?
A: Mn4ReAs

Q: The highest formation enthalpy at 0 K belongs to which entry?
A: number 3